Entry 1:
An optimized crystal structure of CoNiS2Cl, computed with PBE.

Properties
Raw formation energy (eV per formula unit): 3.0
Energy relative to the lowest polymorph listed for this composition (meV per atom): 0.0
Crystal system: tetragonal

Cell: 4.349 4.349 4.701 Å, 90.00 90.00 90.00°
Atoms (fractional coordinates):
1 Co 0.000 0.000 0.000
2 Ni 0.500 0.500 0.500
3 S 0.000 0.500 0.000
4 S 0.500 0.000 0.000
5 Cl 0.000 0.000 0.500

Entry 2:
An optimized crystal structure of Tb3Nd6Dy2, computed with PBE.

Properties
Energy of formation from the pure elements (meV per atom): 12
Energy relative to the lowest polymorph listed for this composition (meV per atom): 0.0
Crystal system: trigonal

Cell: 32.484 32.484 32.484 Å, 6.40 6.40 6.40°
Atoms (fractional coordinates):
1 Tb 0.000 0.000 0.000
2 Tb 0.273 0.273 0.273
3 Tb 0.727 0.727 0.727
4 Nd 0.091 0.091 0.091
5 Nd 0.182 0.182 0.182
6 Nd 0.364 0.364 0.364
7 Nd 0.636 0.636 0.636
8 Nd 0.818 0.818 0.818
9 Nd 0.909 0.909 0.909
10 Dy 0.454 0.454 0.454
11 Dy 0.546 0.546 0.546

Entry 3:
An optimized crystal structure of K2RbNpO4, computed with PBE.

Properties
Raw formation energy (eV per formula unit): -17.3
Crystal system: orthorhombic

Cell: 7.741 7.741 7.741 Å, 124.69 123.05 83.42°
Atoms (fractional coordinates):
1 K 0.000 0.000 0.000
2 K 0.500 0.000 0.000
3 K 0.500 0.000 0.500
4 K 0.500 0.500 0.500
5 Rb 0.000 0.500 0.500
6 Rb 0.500 0.500 0.000
7 Np 0.000 0.000 0.500
8 Np 0.000 0.500 0.000
9 O 0.172 0.164 0.492
10 O 0.172 0.679 0.008
11 O 0.201 0.749 0.451
12 O 0.202 0.251 0.951
13 O 0.798 0.749 0.049
14 O 0.799 0.251 0.549
15 O 0.828 0.321 0.992
16 O 0.828 0.836 0.508

Entry 4:
An optimized crystal structure of BaSrMgSi2O7, computed with PBE.

Properties
Raw formation energy (eV per formula unit): -35.7
Crystal system: monoclinic

Cell: 5.335 8.216 8.213 Å, 90.00 90.89 90.00°
Atoms (fractional coordinates):
1 Ba 0.013 0.000 0.088
2 Ba 0.987 0.500 0.912
3 Sr 0.005 0.336 0.416
4 Sr 0.995 0.836 0.584
5 Mg 0.498 0.166 0.747
6 Mg 0.502 0.666 0.253
7 Si 0.444 0.529 0.602
8 Si 0.456 0.804 0.877
9 Si 0.544 0.304 0.123
10 Si 0.556 0.029 0.398
11 O 0.241 0.308 0.127
12 O 0.252 0.026 0.404
13 O 0.296 0.588 0.434
14 O 0.311 0.972 0.819
15 O 0.312 0.358 0.662
16 O 0.335 0.744 0.050
17 O 0.347 0.667 0.740
18 O 0.653 0.167 0.260
19 O 0.665 0.244 0.950
20 O 0.688 0.858 0.338
21 O 0.689 0.472 0.181
22 O 0.704 0.088 0.566
23 O 0.748 0.526 0.596
24 O 0.759 0.808 0.873

Entry 5:
An optimized crystal structure of Nd2MgSi4Pd3, computed with PBE.

Properties
Raw formation energy (eV per formula unit): -8.0
Crystal system: tetragonal

Cell: 4.227 4.227 10.426 Å, 90.00 90.00 90.00°
Atoms (fractional coordinates):
1 Nd 0.000 0.500 0.240
2 Nd 0.500 0.000 0.760
3 Mg 0.000 0.000 0.500
4 Si 0.000 0.000 0.000
5 Si 0.000 0.500 0.649
6 Si 0.500 0.000 0.351
7 Si 0.500 0.500 0.000
8 Pd 0.000 0.500 0.884
9 Pd 0.500 0.000 0.116
10 Pd 0.500 0.500 0.500

no.,volume (Å³/atom),size of the total moment (μB/atom)
1,17.8,0.238
2,33.5,0.000
3,19.2,0.250
4,15.0,0.000
5,18.6,0.000